Record 1
First-principles (GGA-PBE) data for a relaxed structure of NaTl8In5, as listed in Alexandria.

Calculated values
For the total energy, the calculation gives -67.0 eV per cell. The density of states at the Fermi level is 0.477 states/eV/atom. Its formation enthalpy at 0 K is 0.03 eV per atom. For the size of the total moment, the calculation gives 0.00 μB per atom.

The structure in CIF format:
```
data_NaTl8In5
_chemical_formula_sum 'Na2 Tl16 In10'
_cell_length_a 9.4202
_cell_length_b 9.4202
_cell_length_c 9.5897
_cell_angle_alpha 90.00
_cell_angle_beta 90.00
_cell_angle_gamma 90.00
_space_group_name_H-M_alt 'I -4'
_space_group_IT_number 82
_space_group_name_Hall 'I -4'
loop_
_atom_site_label
_atom_site_type_symbol
_atom_site_fract_x
_atom_site_fract_y
_atom_site_fract_z
Na1 Na 0.0000 0.0000 0.0000
Tl1 Tl 0.0690 0.1682 0.3361
Tl2 Tl 0.0946 0.3225 0.9932
In1 In 0.0000 0.5000 0.2500
In2 In 0.1171 0.2919 0.6617
```

---

Record 2
First-principles (GGA-PBE) data for a relaxed structure of Na2Tl2In, as listed in Alexandria.

Calculated values
For the total energy, the calculation gives -19.7 eV per cell. The density of states at the Fermi level is 0.514 states/eV/atom. The calculation puts the energy relative to the lowest polymorph listed for this composition at 162 meV per atom. Its formation enthalpy at 0 K is 0.05 eV per atom. For the size of the total moment, the calculation gives 0.00 μB per atom.

The structure in CIF format:
```
data_Na2Tl2In
_chemical_formula_sum 'Na4 Tl4 In2'
_cell_length_a 4.4224
_cell_length_b 4.4224
_cell_length_c 15.2772
_cell_angle_alpha 90.00
_cell_angle_beta 90.00
_cell_angle_gamma 90.00
_space_group_name_H-M_alt 'I 4/m m m'
_space_group_IT_number 139
_space_group_name_Hall '-I 4 2'
loop_
_atom_site_label
_atom_site_type_symbol
_atom_site_fract_x
_atom_site_fract_y
_atom_site_fract_z
Na1 Na 0.0000 0.5000 0.2500
Tl1 Tl 0.0000 0.0000 0.0979
In1 In 0.0000 0.0000 0.5000
```

---

Record 3
First-principles (GGA-PBE) data for a relaxed structure of Na3Tl7In, as listed in Alexandria.

Calculated values
For the total energy, the calculation gives -46.5 eV per cell. The density of states at the Fermi level is 0.399 states/eV/atom. The calculation puts the energy relative to the lowest polymorph listed for this composition at 48 meV per atom. Its formation enthalpy at 0 K is 0.00 eV per atom. For the size of the total moment, the calculation gives 0.00 μB per atom.

The structure in CIF format:
```
data_Na3Tl7In
_chemical_formula_sum 'Na6 Tl14 In2'
_cell_length_a 11.5311
_cell_length_b 11.4525
_cell_length_c 5.8319
_cell_angle_alpha 90.00
_cell_angle_beta 118.59
_cell_angle_gamma 90.00
_space_group_name_H-M_alt 'C 1 2/m 1'
_space_group_IT_number 12
_space_group_name_Hall '-C 2y'
loop_
_atom_site_label
_atom_site_type_symbol
_atom_site_fract_x
_atom_site_fract_y
_atom_site_fract_z
Na1 Na 0.0000 0.0000 0.0000
Na2 Na 0.0000 0.2233 0.5000
Tl1 Tl 0.0000 0.5000 0.5000
Tl2 Tl 0.1743 0.2351 0.1723
Tl3 Tl 0.1925 0.0000 0.6563
In1 In 0.0000 0.5000 0.0000
```